# GaCuC2Cl

A PBEsol-optimized structure of GaCuC2Cl (meta-GGA SCAN, Alexandria).

Results
SG: P4/mmm
formation energy from raw total energies: 1906 meV per atom
E_tot: -10.04 eV/atom

Cell and atoms, written as extended XYZ:
```
5
Lattice="3.734 0.000 0.000 0.000 3.734 0.000 0.000 0.000 5.855" Properties=species:S:1:pos:R:3 pbc="T T T"
Ga 0.000 0.000 0.000
Cu 0.000 0.000 2.927
C 0.000 1.867 0.000
C 1.867 0.000 0.000
Cl 1.867 1.867 2.927
```